1.
DFT (PBE) results for a geometry-optimized Tb5ErTm2Sc structure.

Cell and atoms, written as CIF:
```
data_Tb5ErTm2Sc
_cell_length_a 10.327
_cell_length_b 10.327
_cell_length_c 10.328
_cell_angle_alpha 90.00
_cell_angle_beta 90.00
_cell_angle_gamma 149.17
_symmetry_space_group_name_H-M 'P 1'
_symmetry_Int_Tables_number 1
loop_
_symmetry_equiv_pos_as_xyz
'x,y,z'
loop_
_atom_site_label
_atom_site_type_symbol
_atom_site_fract_x
_atom_site_fract_y
_atom_site_fract_z
Tb1 Tb 0.016 0.984 0.500
Tb2 Tb 0.275 0.725 0.805
Tb3 Tb 0.300 0.700 0.191
Tb4 Tb 0.376 0.624 0.505
Tb5 Tb 0.483 0.517 0.226
Tb6 Tb 0.517 0.483 0.726
Tb7 Tb 0.624 0.376 0.005
Tb8 Tb 0.700 0.300 0.691
Tb9 Tb 0.725 0.275 0.305
Tb10 Tb 0.984 0.016 0.000
Er1 Er 0.407 0.593 0.943
Er2 Er 0.593 0.407 0.443
Tm1 Tm 0.111 0.889 0.793
Tm2 Tm 0.114 0.886 0.224
Tm3 Tm 0.886 0.114 0.724
Tm4 Tm 0.889 0.111 0.293
Sc1 Sc 0.195 0.805 0.500
Sc2 Sc 0.805 0.195 0.000
```

Calculated values
As for the energy relative to the elements: 0.166 eV per atom. Its final energy is -0.1695 Ha/atom. As for the density of states at the Fermi level: 30.7 states/eV per cell. As for the space group: Cmc2_1, No. 36.



2.
DFT (PBE) results for a geometry-optimized TbEr6Tm2Sc structure.

Cell and atoms, written as CIF:
```
data_TbEr6Tm2Sc
_cell_length_a 8.599
_cell_length_b 8.599
_cell_length_c 9.298
_cell_angle_alpha 93.62
_cell_angle_beta 93.62
_cell_angle_gamma 117.23
_symmetry_space_group_name_H-M 'P 1'
_symmetry_Int_Tables_number 1
loop_
_symmetry_equiv_pos_as_xyz
'x,y,z'
loop_
_atom_site_label
_atom_site_type_symbol
_atom_site_fract_x
_atom_site_fract_y
_atom_site_fract_z
Tb1 Tb 0.024 0.976 0.750
Tb2 Tb 0.976 0.024 0.250
Er1 Er 0.008 0.564 0.688
Er2 Er 0.126 0.754 0.056
Er3 Er 0.246 0.874 0.444
Er4 Er 0.292 0.507 0.884
Er5 Er 0.436 0.992 0.812
Er6 Er 0.493 0.708 0.616
Er7 Er 0.507 0.292 0.384
Er8 Er 0.564 0.008 0.188
Er9 Er 0.708 0.493 0.116
Er10 Er 0.754 0.126 0.556
Er11 Er 0.874 0.246 0.944
Er12 Er 0.992 0.436 0.312
Tm1 Tm 0.201 0.306 0.548
Tm2 Tm 0.306 0.201 0.048
Tm3 Tm 0.694 0.799 0.952
Tm4 Tm 0.799 0.694 0.452
Sc1 Sc 0.413 0.587 0.250
Sc2 Sc 0.587 0.413 0.750
```

Calculated values
As for the energy relative to the elements: 0.129 eV per atom. Its final energy is -0.1690 Ha/atom. As for the density of states at the Fermi level: 27.4 states/eV per cell. As for the space group: C2/c, No. 15.



3.
DFT (PBE) results for a geometry-optimized TbY6Er3Sc2 structure.

Cell and atoms, written as CIF:
```
data_TbY6Er3Sc2
_cell_length_a 6.071
_cell_length_b 6.071
_cell_length_c 11.608
_cell_angle_alpha 95.00
_cell_angle_beta 95.00
_cell_angle_gamma 119.94
_symmetry_space_group_name_H-M 'P 1'
_symmetry_Int_Tables_number 1
loop_
_symmetry_equiv_pos_as_xyz
'x,y,z'
loop_
_atom_site_label
_atom_site_type_symbol
_atom_site_fract_x
_atom_site_fract_y
_atom_site_fract_z
Tb1 Tb 0.000 0.000 0.000
Y1 Y 0.082 0.418 0.246
Y2 Y 0.253 0.253 0.754
Y3 Y 0.418 0.082 0.246
Y4 Y 0.582 0.918 0.754
Y5 Y 0.747 0.747 0.246
Y6 Y 0.918 0.582 0.754
Er1 Er 0.167 0.833 0.500
Er2 Er 0.500 0.500 0.500
Er3 Er 0.833 0.167 0.500
Sc1 Sc 0.333 0.667 0.000
Sc2 Sc 0.667 0.333 0.000
```

Calculated values
As for the energy relative to the elements: 0.044 eV per atom. Its final energy is -0.2120 Ha/atom. As for the density of states at the Fermi level: 18.6 states/eV per cell. As for the space group: C2/m, No. 12.



4.
DFT (PBE) results for a geometry-optimized Tb4Y2ErSc structure.

Cell and atoms, written as CIF:
```
data_Tb4Y2ErSc
_cell_length_a 4.984
_cell_length_b 4.984
_cell_length_c 9.924
_cell_angle_alpha 90.00
_cell_angle_beta 90.00
_cell_angle_gamma 90.00
_symmetry_space_group_name_H-M 'P 1'
_symmetry_Int_Tables_number 1
loop_
_symmetry_equiv_pos_as_xyz
'x,y,z'
loop_
_atom_site_label
_atom_site_type_symbol
_atom_site_fract_x
_atom_site_fract_y
_atom_site_fract_z
Tb1 Tb 0.000 0.500 0.246
Tb2 Tb 0.000 0.500 0.754
Tb3 Tb 0.500 0.000 0.246
Tb4 Tb 0.500 0.000 0.754
Y1 Y 0.000 0.000 0.000
Y2 Y 0.500 0.500 0.500
Er1 Er 0.000 0.000 0.500
Sc1 Sc 0.500 0.500 0.000
```

Calculated values
As for the energy relative to the elements: 0.033 eV per atom. Its final energy is -0.1933 Ha/atom. As for the density of states at the Fermi level: 12.1 states/eV per cell. As for the space group: P4/mmm, No. 123.